# 1
This record from Alexandria via LeMat-Bulk describes crystalline P2HI at its relaxed geometry. The functional is PBE.

As for the distance to the lowest polymorph of the same formula: 0 meV per atom.

Cell: 4.6293 4.6293 7.7997 Å, 72.74 72.74 90.00°
Closest atoms and distances in Å follow each position.
Element x y z (fractional)
I1 0.0000 0.0000 0.0000  8 P 3.13-3.14, 4 H 3.27
I2 0.7500 0.2500 0.5000  8 P 3.13-3.14, 4 H 3.27
P1 0.3749 0.1250 0.2500  2 H 2.11, 2 P 2.31
P2 0.3751 0.6250 0.2500  2 H 2.11, 2 P 2.31
P3 0.3750 0.6251 0.7500  2 H 2.11, 2 P 2.31
P4 0.8750 0.6249 0.7500  2 H 2.11, 2 P 2.31
H1 0.5000 0.5000 0.0000  4 P 2.11
H2 0.2500 0.7500 0.5000  4 P 2.11

---

# 2
This record from Alexandria via LeMat-Bulk describes crystalline PH3I3 at its relaxed geometry. The functional is PBE.

The electronic total energy is -40.0 eV/cell.

Cell: 8.9098 8.9098 6.2683 Å, 117.43 117.43 90.23°
Closest atoms and distances in Å follow each position.
Element x y z (fractional)
P1 0.7450 0.7450 0.8783  3 H 1.41-1.42
P2 0.2550 0.2550 0.1217  3 H 1.41-1.42
H1 0.8933 0.8933 0.0676  1 P 1.41
H2 0.7907 0.6094 0.9339  1 P 1.42
H3 0.6094 0.7907 0.9339  1 P 1.42
H4 0.2093 0.3906 0.0661  1 P 1.42
H5 0.3906 0.2093 0.0661  1 P 1.42
H6 0.1067 0.1067 0.9324  1 P 1.41
I1 0.6352 0.6352 0.3793  1 P 2.46
I2 0.2006 0.7994 0.5000  2 I 3.13, 6 H 3.29-3.43
I3 0.7994 0.2006 0.5000  2 I 3.13, 6 H 3.29-3.43
I4 0.2006 0.7994 0.0000  2 H 3.02, 2 I 3.13
I5 0.7994 0.2006 0.0000  2 H 3.02, 2 I 3.13
I6 0.3648 0.3648 0.6207  1 P 2.46

---

# 3
This record from Alexandria via LeMat-Bulk describes crystalline P2H7I2 at its relaxed geometry. The functional is PBE.

As for the distance to the lowest polymorph of the same formula: 0 meV per atom.

Cell: 5.9590 6.6945 6.6945 Å, 58.77 73.32 73.32°
Closest atoms and distances in Å follow each position.
Element x y z (fractional)
P1 0.4057 0.1561 0.1561  3 H 1.41-1.42
P2 0.5943 0.8439 0.8439  3 H 1.41-1.42
H1 0.7397 0.9479 0.6194  1 P 1.42
H2 0.2603 0.3806 0.0521  1 P 1.42
H3 0.2603 0.0521 0.3806  1 P 1.42
H4 0.7397 0.6194 0.9479  1 P 1.42
H5 0.5000 0.0000 0.0000  2 P 1.72
H6 0.4221 0.7845 0.7845  1 P 1.41
H7 0.5779 0.2155 0.2155  1 P 1.41
I1 0.0000 0.2514 0.7486  8 H 3.21-3.42, 2 I 3.27-3.30
I2 0.0000 0.7486 0.2514  8 H 3.21-3.42, 2 I 3.27-3.30

---

# 4
This record from Alexandria via LeMat-Bulk describes crystalline PH3I at its relaxed geometry. The functional is PBE.

As for the distance to the lowest polymorph of the same formula: 729 meV per atom.

Cell: 3.8005 3.8005 3.8005 Å, 90.00 90.00 90.00°
Closest atoms and distances in Å follow each position.
Element x y z (fractional)
I1 0.5000 0.5000 0.5000  12 H 2.69
P1 0.0000 0.0000 0.0000  6 H 1.90
H1 0.0000 0.5000 0.0000  2 P 1.90
H2 0.0000 0.0000 0.5000  2 P 1.90
H3 0.5000 0.0000 0.0000  2 P 1.90

---

# 5
This record from Alexandria via LeMat-Bulk describes crystalline PH5I4 at its relaxed geometry. The functional is PBE.

The electronic total energy is -26.5 eV/cell.

Cell: 8.1248 6.7508 6.7508 Å, 68.77 53.00 53.00°
Closest atoms and distances in Å follow each position.
Element x y z (fractional)
P1 0.0362 0.0000 0.0000  5 H 1.41-1.48
H1 0.9342 0.2471 0.8912  1 P 1.48
H2 0.1813 0.8912 0.7529  1 P 1.48
H3 0.8254 0.1088 0.2471  1 P 1.48
H4 0.0725 0.7529 0.1088  1 P 1.48
H5 0.2099 0.0000 0.0000  1 P 1.41
I1 0.5260 0.3478 0.7257  3 H 2.92-3.04, 1 I 2.94
I2 0.8737 0.7257 0.6522  3 H 2.92-3.04, 1 I 2.94
I3 0.2516 0.2743 0.3478  3 H 2.92-3.04, 1 I 2.94
I4 0.5994 0.6522 0.2743  3 H 2.92-3.04, 1 I 2.94

---

# 6
This record from Alexandria via LeMat-Bulk describes crystalline PHI2 at its relaxed geometry. The functional is PBE.

As for the distance to the lowest polymorph of the same formula: 0 meV per atom.

Cell: 8.6109 8.6109 8.7094 Å, 60.37 60.37 90.00°
Closest atoms and distances in Å follow each position.
Element x y z (fractional)
I1 0.8750 0.1250 0.2500  2 P 2.66
I2 0.8750 0.6250 0.2500  2 P 2.66
I3 0.3750 0.1250 0.7500  2 P 2.66
I4 0.8750 0.1250 0.7500  2 P 2.66
P1 0.0000 0.0000 0.0000  4 I 2.66
P2 0.7500 0.2500 0.5000  4 I 2.66
H1 0.5000 0.5000 0.0000  12 I 5.06-5.14, 4 H 5.31, 4 P 5.31
H2 0.2500 0.7500 0.5000  12 I 5.06-5.14, 4 H 5.31, 4 P 5.31

---

# 7
This record from Alexandria via LeMat-Bulk describes crystalline PH5I2 at its relaxed geometry. The functional is PBE.

As for the distance to the lowest polymorph of the same formula: 245 meV per atom.

Cell: 4.7832 4.7811 8.0925 Å, 110.89 110.90 78.07°
Closest atoms and distances in Å follow each position.
Element x y z (fractional)
P1 0.9727 0.9727 0.9455  5 H 1.43-1.51
H1 0.8153 0.2288 0.0438  1 P 1.43
H2 0.1760 0.1757 0.9466  1 P 1.51
H3 0.7706 0.7708 0.9467  1 P 1.51
H4 0.2284 0.8151 0.0438  1 P 1.43
H5 0.8733 0.8732 0.7467  1 P 1.43
I1 0.2204 0.7204 0.4406  2 I 3.01, 2 H 3.25
I2 0.7203 0.2203 0.4404  2 I 3.01, 2 H 3.25

---

# 8
This record from Alexandria via LeMat-Bulk describes crystalline P2H2I at its relaxed geometry. The functional is PBE.

The electronic total energy is -17.1 eV/cell.

Cell: 3.6201 3.6201 5.7270 Å, 90.00 90.00 94.69°
Closest atoms and distances in Å follow each position.
Element x y z (fractional)
P1 0.7647 0.2353 0.5000  2 H 1.70
P2 0.2353 0.7647 0.5000  2 H 1.70
H1 0.5000 0.5000 0.6669  2 P 1.70
H2 0.5000 0.5000 0.3331  2 P 1.70
I1 0.0000 0.0000 0.0000  8 H 3.11-3.28, 4 P 3.13

---

# 9
This record from Alexandria via LeMat-Bulk describes crystalline PH2I at its relaxed geometry. The functional is PBE.

As for the distance to the lowest polymorph of the same formula: 1340 meV per atom.

Cell: 4.1226 4.1226 4.1226 Å, 60.00 60.00 60.00°
Closest atoms and distances in Å follow each position.
Element x y z (fractional)
I1 0.5000 0.5000 0.5000  8 H 2.52
P1 0.0000 0.0000 0.0000  8 H 2.52
H1 0.2500 0.2500 0.2500  4 I 2.52, 4 P 2.52
H2 0.7500 0.7500 0.7500  4 I 2.52, 4 P 2.52

---

# 10
This record from Alexandria via LeMat-Bulk describes crystalline PH4I2 at its relaxed geometry. The functional is PBE.

As for the distance to the lowest polymorph of the same formula: 0 meV per atom.

Cell: 7.8454 7.1521 7.8485 Å, 90.00 130.49 90.00°
Closest atoms and distances in Å follow each position.
Element x y z (fractional)
P1 0.1356 0.2500 0.3747  4 H 1.42
P2 0.8644 0.7500 0.6253  4 H 1.42
H1 0.0114 0.4125 0.2500  1 P 1.42
H2 0.3429 0.2500 0.4199  1 P 1.42
H3 0.6571 0.7500 0.5801  1 P 1.42
H4 0.0114 0.0875 0.2500  1 P 1.42
H5 0.8220 0.7500 0.4197  1 P 1.42
H6 0.9886 0.9125 0.7500  1 P 1.42
H7 0.9886 0.5875 0.7500  1 P 1.42
H8 0.1780 0.2500 0.5803  1 P 1.42
I1 0.1780 0.2500 0.9262  3 H 2.70-2.72
I2 0.8220 0.7500 0.0738  3 H 2.70-2.72
I3 0.3168 0.7500 0.5849  1 H 2.69
I4 0.6832 0.2500 0.4151  1 H 2.69

---

# 11
This record from Alexandria via LeMat-Bulk describes crystalline PH4I2 at its relaxed geometry. The functional is PBE.

As for the distance to the lowest polymorph of the same formula: 333 meV per atom.

Cell: 2.9273 7.0520 6.9756 Å, 112.31 102.11 90.00°
Closest atoms and distances in Å follow each position.
Element x y z (fractional)
P1 0.0000 0.0000 0.0000  2 H 1.45
H1 0.9366 0.1241 0.8732  1 P 1.45
H2 0.0634 0.8759 0.1268  1 P 1.45
H3 0.5637 0.1221 0.1273  2 P 1.75, 1 H 1.91
H4 0.4363 0.8779 0.8727  2 P 1.75, 1 H 1.91
I1 0.6656 0.6823 0.3313  2 H 2.73, 2 I 2.93
I2 0.3344 0.3177 0.6687  2 H 2.73, 2 I 2.93

---

# 12
This record from Alexandria via LeMat-Bulk describes crystalline PH3I at its relaxed geometry. The functional is PBE.

As for the distance to the lowest polymorph of the same formula: 1307 meV per atom.

Cell: 4.0514 4.0514 4.0514 Å, 90.00 90.00 90.00°
Closest atoms and distances in Å follow each position.
Element x y z (fractional)
I1 0.0000 0.0000 0.0000  6 H 2.03
P1 0.5000 0.5000 0.5000  12 H 2.86
H1 0.0000 0.5000 0.0000  2 I 2.03
H2 0.0000 0.0000 0.5000  2 I 2.03
H3 0.5000 0.0000 0.0000  2 I 2.03